Version P
Computed, not measured: a geometry-optimized ReTe2H structure at the PBE level of DFT.

Computed properties:
M_tot in μB/cell: 0.00

Cell lengths 5.657, 5.657, 11.133 Å; angles 90.00, 90.00, 90.00 degrees
Space group I-42d (No. 122)
Asymmetric unit:
Re1 0.000 0.000 0.000 x4
Te1 0.215 0.250 0.625 x8
H1 0.000 0.000 0.500 x4

***

Version Q
Computed, not measured: a geometry-optimized ReTe2H structure at the PBE level of DFT.

Computed properties:
M_tot in μB/cell: 0.00

Cell lengths 6.504, 6.504, 6.504 Å; angles 90.00, 90.00, 90.00 degrees
Space group Fm-3m (No. 225)
Asymmetric unit:
Re1 0.000 0.000 0.000 x4
Te1 0.250 0.250 0.250 x8
H1 0.000 0.000 0.500 x4

***

Version R
Computed, not measured: a geometry-optimized ReTe2H structure at the PBE level of DFT.

Computed properties:
M_tot in μB/cell: 0.00

Cell lengths 3.0789, 3.0789, 26.4612 Å; angles 90.00, 90.00, 120.00 degrees
Space group R-3m (No. 166, hexagonal axes)
Asymmetric unit:
Re1 0.0000 0.0000 0.0000 x3
Te1 0.0000 0.0000 0.1005 x6
H1 0.0000 0.0000 0.5000 x3

***

Most stable structure: version Q

***

Version P
Computed, not measured: a geometry-optimized ReTeH3 structure at the PBE level of DFT.

Computed properties:
M_tot in μB/cell: 0.00

Cell lengths 3.796, 3.796, 3.796 Å; angles 90.00, 90.00, 90.00 degrees
Space group Pm-3m (No. 221)
Asymmetric unit:
Re1 0.000 0.000 0.000 x1
Te1 0.500 0.500 0.500 x1
H1 0.000 0.500 0.500 x3

***

Version Q
Computed, not measured: a geometry-optimized ReTeH3 structure at the PBE level of DFT.

Computed properties:
M_tot in μB/cell: 0.00

Cell lengths 3.691, 3.691, 3.691 Å; angles 90.00, 90.00, 90.00 degrees
Space group Pm-3m (No. 221)
Asymmetric unit:
Re1 0.000 0.000 0.000 x1
Te1 0.500 0.500 0.500 x1
H1 0.000 0.000 0.500 x3

***

Most stable structure: version Q

***

Version P
Computed, not measured: a geometry-optimized Ti2ReH2 structure at the PBE level of DFT.

Computed properties:
M_tot in μB/cell: 0.00

Cell lengths 3.134, 3.134, 10.556 Å; angles 90.00, 90.00, 90.00 degrees
Space group I4/mmm (No. 139)
Asymmetric unit:
Ti1 0.000 0.000 0.144 x4
Re1 0.000 0.000 0.500 x2
H1 0.000 0.500 0.250 x4

***

Version Q
Computed, not measured: a geometry-optimized Ti2ReH2 structure at the PBE level of DFT.

Computed properties:
M_tot in μB/cell: 0.00

Cell lengths 3.049, 3.049, 5.939 Å; angles 90.00, 90.00, 90.00 degrees
Space group P4/mmm (No. 123)
Asymmetric unit:
Ti1 0.000 0.000 0.238 x2
Re1 0.500 0.500 0.500 x1
H1 0.000 0.500 0.000 x2

***

Most stable structure: version P

***

Version P
Computed, not measured: a geometry-optimized TiReH3 structure at the PBE level of DFT.

Computed properties:
M_tot in μB/cell: 0.00

Cell lengths 3.474, 3.474, 3.474 Å; angles 90.00, 90.00, 90.00 degrees
Space group Pm-3m (No. 221)
Asymmetric unit:
Ti1 0.000 0.000 0.000 x1
Re1 0.500 0.500 0.500 x1
H1 0.000 0.500 0.500 x3

***

Version Q
Computed, not measured: a geometry-optimized TiReH3 structure at the PBE level of DFT.

Computed properties:
M_tot in μB/cell: 0.00

Cell lengths 3.383, 3.383, 3.383 Å; angles 90.00, 90.00, 90.00 degrees
Space group Pm-3m (No. 221)
Asymmetric unit:
Ti1 0.000 0.000 0.000 x1
Re1 0.500 0.500 0.500 x1
H1 0.000 0.000 0.500 x3

***

Most stable structure: version P